An optimized crystal structure of Sn2Pd3Pt4, computed with PBE.

Properties
* formation energy from the elements: -0.361 eV/atom
* density: 14.97 g/cm³
* space-group type: No. 2

abc: 4.9163 4.9181 8.5391
angles: 72.40 84.14 49.46
Last column: nearest neighbours and their distance in Å.
Fractional positions:
Pt 0.6644 0.7745 0.8900  4 Sn 2.82-2.88, 4 Pd 2.84-2.86, 4 Pt 2.88-2.89
Sn 0.3297 0.5559 0.7747  5 Pd 2.78-2.90, 7 Pt 2.82-2.88
Pd 0.3371 0.8887 0.4483  3 Pd 2.78-2.87, 3 Sn 2.78-2.88, 6 Pt 2.84-2.86
Pt 0.9989 0.3338 0.6654  3 Pt 2.81-2.89, 3 Sn 2.82-2.87, 6 Pd 2.83-2.86
Sn 0.6703 0.4441 0.2253  5 Pd 2.78-2.90, 7 Pt 2.82-2.88
Pd 0.0000 0.0000 0.0000  8 Pt 2.83-2.86, 4 Sn 2.90
Pt 0.0011 0.6662 0.3346  3 Pt 2.81-2.89, 3 Sn 2.82-2.87, 6 Pd 2.83-2.86
Pd 0.6629 0.1113 0.5517  3 Pd 2.78-2.87, 3 Sn 2.78-2.88, 6 Pt 2.84-2.86
Pt 0.3356 0.2255 0.1100  4 Sn 2.82-2.88, 4 Pd 2.84-2.86, 4 Pt 2.88-2.89

An optimized crystal structure of Mg3CdAu5, computed with PBE.

Properties
* formation energy from the elements: -0.454 eV/atom
* density: 11.74 g/cm³
* space-group type: No. 193

abc: 5.7642 8.1435 8.1432
angles: 120.00 90.00 90.00
Last column: nearest neighbours and their distance in Å.
Fractional positions:
Au 0.7500 0.3162 0.0000  5 Mg 2.67-2.90, 2 Cd 2.95
Au 0.2500 0.0000 0.6839  5 Mg 2.67-2.90, 2 Cd 2.95
Mg 0.2500 0.6444 0.6443  5 Au 2.67-2.90
Mg 0.7500 0.0000 0.6443  5 Au 2.67-2.90
Au 0.0000 0.6667 0.3333  8 Au 2.88-3.14, 6 Mg 3.00
Au 0.5000 0.3333 0.6667  8 Au 2.88-3.14, 6 Mg 3.00
Mg 0.2500 0.3556 0.0000  5 Au 2.67-2.90
Au 0.0000 0.3333 0.6667  8 Au 2.88-3.14, 6 Mg 3.00
Au 0.7500 0.0000 0.3161  5 Mg 2.67-2.90, 2 Cd 2.95
Mg 0.7500 0.6444 0.0000  5 Au 2.67-2.90
Au 0.5000 0.6667 0.3333  8 Au 2.88-3.14, 6 Mg 3.00
Cd 0.5000 0.0000 0.0000  2 Cd 2.88, 6 Au 2.95
Au 0.7500 0.6839 0.6839  5 Mg 2.67-2.90, 2 Cd 2.95
Mg 0.7500 0.3556 0.3557  5 Au 2.67-2.90
Au 0.2500 0.6838 0.0000  5 Mg 2.67-2.90, 2 Cd 2.95
Mg 0.2500 0.0000 0.3557  5 Au 2.67-2.90
Au 0.2500 0.3161 0.3161  5 Mg 2.67-2.90, 2 Cd 2.95
Cd 0.0000 0.0000 0.0000  2 Cd 2.88, 6 Au 2.95

An optimized crystal structure of NaGaTe2, computed with PBE.

Properties
* density: 3.52 g/cm³
* space-group type: No. 5
* E_form (uncorrected): -0.564 eV/atom

abc: 7.1513 7.1518 9.5830
angles: 123.43 56.54 119.48
Last column: nearest neighbours and their distance in Å.
Fractional positions:
Te 0.7620 0.3737 0.3714  2 Ga 2.61-2.68
Na 0.9626 0.9426 0.0651  4 Te 3.15-3.17
Na 0.6577 0.2465 0.6787  4 Te 3.15-3.17
Te 0.5053 0.5245 0.1039  2 Ga 2.68
Ga 0.1553 0.7179 0.3719  4 Te 2.61-2.68
Te 0.0891 0.0466 0.3724  2 Ga 2.61-2.68
Ga 0.4334 0.4399 0.3718  4 Te 2.61-2.68
Te 0.2395 0.7895 0.6398  2 Ga 2.68

An optimized crystal structure of BaNa2Au4, computed with PBE.

Properties
* formation energy from the elements: -0.457 eV/atom
* energy above the lowest structure with this stoichiometry: 0.025 eV per atom
* density: 8.55 g/cm³
* space-group type: No. 71

abc: 4.8268 4.0898 10.0634
angles: 101.72 103.88 90.00
Last column: nearest neighbours and their distance in Å.
Fractional positions:
Na 0.1919 0.1919 0.3839  7 Au 3.04-3.27
Au 0.0738 0.5738 0.1476  3 Au 2.81-2.82, 2 Na 3.05
Ba 0.5000 0.0000 0.0000  12 Au 3.46-3.51
Au 0.9262 0.4262 0.8524  3 Au 2.81-2.82, 2 Na 3.05
Au 0.3510 0.3510 0.7020  2 Au 2.81, 1 Na 3.04
Au 0.6490 0.6490 0.2980  2 Au 2.81, 1 Na 3.04
Na 0.8081 0.8081 0.6161  7 Au 3.04-3.27